(1)
Compound: ZrCoN3
Source: the Alexandria database
Functional: PBE
Structure: relaxed

Lattice parameters (Å, degrees): 4.1612 4.1612 4.1612 90.00 90.00 90.00
Last column: magnetic moment on the atom in μB.
Positions (direct):
Co 0.5000 0.5000 0.5000  2.42
Zr 0.0000 0.0000 0.0000  0.06
N 0.0000 0.5000 0.0000  0.40
N 0.0000 0.0000 0.5000  0.60
N 0.5000 0.0000 0.0000  0.24

Values from the calculation:
**Total magnetization**: 4.1 μB/cell
**Volume**: 14.4 Å³/atom
**DOS(E_F)**: 1.0727 states/eV per atom
**Uncorrected formation energy**: 1260.3 meV/atom

=====

(2)
Compound: NaNpCuBr6
Source: the Alexandria database
Functional: PBE
Structure: relaxed

Lattice parameters (Å, degrees): 6.9383 6.9383 13.5801 90.00 90.00 120.00
Last column: magnetic moment on the atom in μB.
Positions (direct):
Na 0.0000 0.0000 0.0000  0.00
Na 0.0000 0.0000 0.5000  0.00
Np 0.3333 0.6667 0.2500  -3.40
Np 0.6667 0.3333 0.7500  -3.40
Cu 0.6667 0.3333 0.2500  0.17
Cu 0.3333 0.6667 0.7500  0.17
Br 0.6517 0.6405 0.1331  0.04
Br 0.9888 0.3483 0.1331  0.04
Br 0.3483 0.9888 0.6331  0.04
Br 0.0112 0.6517 0.8669  0.04
Br 0.3595 0.3483 0.3669  0.04
Br 0.9888 0.6405 0.3669  0.04
Br 0.6405 0.9888 0.8669  0.04
Br 0.6517 0.0112 0.3669  0.04
Br 0.0112 0.3595 0.6331  0.04
Br 0.3595 0.0112 0.1331  0.04
Br 0.6405 0.6517 0.6331  0.04
Br 0.3483 0.3595 0.8669  0.04

Values from the calculation:
**Total magnetization**: 6.0 μB/cell
**Volume**: 31.5 Å³/atom
**DOS(E_F)**: 0.8713 states/eV per atom
**Uncorrected formation energy**: -1059.6 meV/atom

=====

(3)
Compound: CsRu2W
Source: the Alexandria database
Functional: PBE
Structure: relaxed

Lattice parameters (Å, degrees): 4.7130 4.7130 4.7130 60.00 60.00 60.00
Positions (direct):
Cs 0.0000 0.0000 0.0000
Ru 0.2500 0.2500 0.2500
Ru 0.7500 0.7500 0.7500
W 0.5000 0.5000 0.5000

Values from the calculation:
**Total magnetization**: 0.0 μB/cell
**Volume**: 18.5 Å³/atom
**Formation enthalpy at 0 K**: 172.58 kJ per mole of atoms
**DOS(E_F)**: 1.2622 states/eV per atom